# 1
A plane-wave DFT calculation with GGA-PBE was carried out for NbAlFe2 after structural relaxation.

## Properties
- SG: Pnma, No. 62
- E_tot: -30.433 eV/f.u.

Cell lengths 6.173, 6.946, 5.077 Å; angles 90.00, 90.00, 90.00 degrees
Atoms (fractional coordinates):
1 Nb 0.030 0.250 0.149
2 Nb 0.470 0.750 0.649
3 Nb 0.530 0.250 0.351
4 Nb 0.970 0.750 0.851
5 Al 0.102 0.750 0.356
6 Al 0.398 0.250 0.856
7 Al 0.602 0.750 0.144
8 Al 0.898 0.250 0.644
9 Fe 0.190 0.034 0.609
10 Fe 0.190 0.466 0.609
11 Fe 0.310 0.534 0.109
12 Fe 0.310 0.966 0.109
13 Fe 0.690 0.034 0.891
14 Fe 0.690 0.466 0.891
15 Fe 0.810 0.534 0.391
16 Fe 0.810 0.966 0.391

# 2
A plane-wave DFT calculation with GGA-PBE was carried out for NbAlFe2 after structural relaxation.

## Properties
- SG: P6_3/mmc, No. 194
- E_tot: -31.067 eV/f.u.

Cell lengths 4.181, 4.181, 7.161 Å; angles 90.00, 90.00, 120.00 degrees
Atoms (fractional coordinates):
1 Nb 0.000 0.000 0.000
2 Nb 0.000 0.000 0.500
3 Al 0.333 0.667 0.250
4 Al 0.667 0.333 0.750
5 Fe 0.333 0.667 0.601
6 Fe 0.333 0.667 0.899
7 Fe 0.667 0.333 0.101
8 Fe 0.667 0.333 0.399

# 3
A plane-wave DFT calculation with GGA-PBE was carried out for NbAlFe2 after structural relaxation.

## Properties
- SG: F-43m, No. 216
- E_tot: -30.772 eV/f.u.

Cell lengths 6.039, 6.039, 6.039 Å; angles 90.00, 90.00, 90.00 degrees
Atoms (fractional coordinates):
1 Nb 0.000 0.000 0.000
2 Nb 0.000 0.500 0.500
3 Nb 0.500 0.000 0.500
4 Nb 0.500 0.500 0.000
5 Al 0.250 0.250 0.250
6 Al 0.250 0.750 0.750
7 Al 0.750 0.250 0.750
8 Al 0.750 0.750 0.250
9 Fe 0.000 0.000 0.500
10 Fe 0.000 0.500 0.000
11 Fe 0.250 0.250 0.750
12 Fe 0.250 0.750 0.250
13 Fe 0.500 0.000 0.000
14 Fe 0.500 0.500 0.500
15 Fe 0.750 0.250 0.250
16 Fe 0.750 0.750 0.750

# 4
A plane-wave DFT calculation with GGA-PBE was carried out for NbAlFe2 after structural relaxation.

## Properties
- SG: P4/mmm, No. 123
- E_tot: -31.555 eV/f.u.

Cell lengths 2.998, 2.998, 5.800 Å; angles 90.00, 90.00, 90.00 degrees
Atoms (fractional coordinates):
1 Nb 0.000 0.000 0.000
2 Al 0.000 0.000 0.500
3 Fe 0.500 0.500 0.253
4 Fe 0.500 0.500 0.747

# 5
A plane-wave DFT calculation with GGA-PBE was carried out for TaNbAlFe after structural relaxation.

## Properties
- Distance to the lowest polymorph of the same formula: 0.00 eV/f.u.
- SG: F-43m, No. 216
- E_tot: -33.959 eV/f.u.

Cell lengths 6.301, 6.301, 6.301 Å; angles 90.00, 90.00, 90.00 degrees
Atoms (fractional coordinates):
1 Ta 0.000 0.000 0.000
2 Ta 0.000 0.500 0.500
3 Ta 0.500 0.000 0.500
4 Ta 0.500 0.500 0.000
5 Nb 0.250 0.250 0.250
6 Nb 0.250 0.750 0.750
7 Nb 0.750 0.250 0.750
8 Nb 0.750 0.750 0.250
9 Al 0.000 0.000 0.500
10 Al 0.000 0.500 0.000
11 Al 0.500 0.000 0.000
12 Al 0.500 0.500 0.500
13 Fe 0.250 0.250 0.750
14 Fe 0.250 0.750 0.250
15 Fe 0.750 0.250 0.250
16 Fe 0.750 0.750 0.750

# 6
A plane-wave DFT calculation with GGA-PBE was carried out for YNbAlFe after structural relaxation.

## Properties
- Distance to the lowest polymorph of the same formula: 0.00 eV/f.u.
- SG: F-43m, No. 216
- E_tot: -27.661 eV/f.u.

Cell lengths 6.512, 6.512, 6.512 Å; angles 90.00, 90.00, 90.00 degrees
Atoms (fractional coordinates):
1 Y 0.000 0.000 0.000
2 Y 0.000 0.500 0.500
3 Y 0.500 0.000 0.500
4 Y 0.500 0.500 0.000
5 Nb 0.250 0.250 0.750
6 Nb 0.250 0.750 0.250
7 Nb 0.750 0.250 0.250
8 Nb 0.750 0.750 0.750
9 Al 0.250 0.250 0.250
10 Al 0.250 0.750 0.750
11 Al 0.750 0.250 0.750
12 Al 0.750 0.750 0.250
13 Fe 0.000 0.000 0.500
14 Fe 0.000 0.500 0.000
15 Fe 0.500 0.000 0.000
16 Fe 0.500 0.500 0.500

# 7
A plane-wave DFT calculation with GGA-PBE was carried out for YNbAlFe after structural relaxation.

## Properties
- Distance to the lowest polymorph of the same formula: 0.25 eV/f.u.
- SG: F-43m, No. 216
- E_tot: -27.411 eV/f.u.

Cell lengths 6.514, 6.514, 6.514 Å; angles 90.00, 90.00, 90.00 degrees
Atoms (fractional coordinates):
1 Y 0.000 0.000 0.000
2 Y 0.000 0.500 0.500
3 Y 0.500 0.000 0.500
4 Y 0.500 0.500 0.000
5 Nb 0.250 0.250 0.250
6 Nb 0.250 0.750 0.750
7 Nb 0.750 0.250 0.750
8 Nb 0.750 0.750 0.250
9 Al 0.000 0.000 0.500
10 Al 0.000 0.500 0.000
11 Al 0.500 0.000 0.000
12 Al 0.500 0.500 0.500
13 Fe 0.250 0.250 0.750
14 Fe 0.250 0.750 0.250
15 Fe 0.750 0.250 0.250
16 Fe 0.750 0.750 0.750

# 8
A plane-wave DFT calculation with GGA-PBE was carried out for ZrNbAlFe after structural relaxation.

## Properties
- Distance to the lowest polymorph of the same formula: 0.00 eV/f.u.
- SG: F-43m, No. 216
- E_tot: -30.559 eV/f.u.

Cell lengths 6.401, 6.401, 6.401 Å; angles 90.00, 90.00, 90.00 degrees
Atoms (fractional coordinates):
1 Zr 0.000 0.000 0.000
2 Zr 0.000 0.500 0.500
3 Zr 0.500 0.000 0.500
4 Zr 0.500 0.500 0.000
5 Nb 0.250 0.250 0.250
6 Nb 0.250 0.750 0.750
7 Nb 0.750 0.250 0.750
8 Nb 0.750 0.750 0.250
9 Al 0.000 0.000 0.500
10 Al 0.000 0.500 0.000
11 Al 0.500 0.000 0.000
12 Al 0.500 0.500 0.500
13 Fe 0.250 0.250 0.750
14 Fe 0.250 0.750 0.250
15 Fe 0.750 0.250 0.250
16 Fe 0.750 0.750 0.750

# 9
A plane-wave DFT calculation with GGA-PBE was carried out for PrNdAl2Fe4 after structural relaxation.

## Properties
- SG: P-6m2, No. 187
- E_tot: -51.076 eV/f.u.

Cell lengths 4.218, 4.218, 9.789 Å; angles 90.00, 90.00, 120.00 degrees
Atoms (fractional coordinates):
1 Pr 0.000 0.000 0.000
2 Nd 0.667 0.333 0.500
3 Al 0.333 0.667 0.252
4 Al 0.333 0.667 0.748
5 Fe 0.000 0.000 0.287
6 Fe 0.000 0.000 0.713
7 Fe 0.667 0.333 0.216
8 Fe 0.667 0.333 0.784

# 10
A plane-wave DFT calculation with GGA-PBE was carried out for PrNd2Al2Fe4 after structural relaxation.

## Properties
- SG: C2/m, No. 12
- E_tot: -55.824 eV/f.u.

Cell lengths 5.611, 5.611, 8.265 Å; angles 99.44, 99.44, 43.73 degrees
Atoms (fractional coordinates):
1 Pr 0.000 0.000 0.000
2 Nd 0.374 0.374 0.622
3 Nd 0.626 0.626 0.378
4 Al 0.325 0.325 0.224
5 Al 0.675 0.675 0.776
6 Fe 0.081 0.081 0.632
7 Fe 0.248 0.248 0.922
8 Fe 0.752 0.752 0.078
9 Fe 0.919 0.919 0.368

# 11
A plane-wave DFT calculation with GGA-PBE was carried out for Pr2NdAl2Fe4 after structural relaxation.

## Properties
- SG: C2/m, No. 12
- E_tot: -55.753 eV/f.u.

Cell lengths 5.658, 5.658, 8.286 Å; angles 99.83, 99.83, 43.36 degrees
Atoms (fractional coordinates):
1 Pr 0.127 0.127 0.376
2 Pr 0.873 0.873 0.624
3 Nd 0.500 0.500 0.000
4 Al 0.172 0.172 0.777
5 Al 0.828 0.828 0.223
6 Fe 0.253 0.253 0.077
7 Fe 0.420 0.420 0.367
8 Fe 0.580 0.580 0.633
9 Fe 0.747 0.747 0.923

# 12
A plane-wave DFT calculation with GGA-PBE was carried out for PrNdAl4Fe2 after structural relaxation.

## Properties
- SG: Amm2, No. 38
- E_tot: -43.507 eV/f.u.

Cell lengths 7.118, 4.064, 10.710 Å; angles 90.00, 90.00, 90.00 degrees
Atoms (fractional coordinates):
1 Pr 0.000 0.000 0.000
2 Pr 0.000 0.500 0.500
3 Nd 0.500 0.000 0.113
4 Nd 0.500 0.500 0.613
5 Al 0.192 0.000 0.723
6 Al 0.192 0.500 0.223
7 Al 0.309 0.000 0.389
8 Al 0.309 0.500 0.889
9 Al 0.691 0.000 0.389
10 Al 0.691 0.500 0.889
11 Al 0.808 0.000 0.723
12 Al 0.808 0.500 0.223
13 Fe 0.000 0.000 0.272
14 Fe 0.000 0.500 0.772
15 Fe 0.500 0.000 0.840
16 Fe 0.500 0.500 0.340

# 13
A plane-wave DFT calculation with GGA-PBE was carried out for Nd3AlFeS7 after structural relaxation.

## Properties
- SG: P2_1, No. 4
- E_tot: -74.044 eV/f.u.

Cell lengths 9.977, 6.051, 10.014 Å; angles 90.00, 119.73, 90.00 degrees
Atoms (fractional coordinates):
1 Nd 0.126 0.000 0.357
2 Nd 0.267 0.499 0.122
3 Nd 0.359 0.500 0.731
4 Nd 0.641 0.000 0.269
5 Nd 0.733 0.999 0.878
6 Nd 0.874 0.500 0.643
7 Al 0.167 0.921 0.832
8 Al 0.833 0.421 0.168
9 Fe 0.500 0.293 0.500
10 Fe 0.500 0.793 0.500
11 S 0.018 0.772 0.919
12 S 0.080 0.771 0.597
13 S 0.166 0.288 0.831
14 S 0.267 0.557 0.408
15 S 0.356 0.057 0.264
16 S 0.404 0.772 0.981
17 S 0.410 0.056 0.643
18 S 0.590 0.556 0.357
19 S 0.596 0.272 0.019
20 S 0.644 0.557 0.736
21 S 0.733 0.057 0.592
22 S 0.834 0.788 0.169
23 S 0.920 0.271 0.403
24 S 0.982 0.272 0.081

# 14
A plane-wave DFT calculation with GGA-PBE was carried out for AlFeNi after structural relaxation.

## Properties
- SG: F-43m, No. 216
- E_tot: -17.166 eV/f.u.

Cell lengths 5.513, 5.513, 5.513 Å; angles 90.00, 90.00, 90.00 degrees
Atoms (fractional coordinates):
1 Al 0.000 0.000 0.000
2 Al 0.000 0.500 0.500
3 Al 0.500 0.000 0.500
4 Al 0.500 0.500 0.000
5 Fe 0.250 0.250 0.250
6 Fe 0.250 0.750 0.750
7 Fe 0.750 0.250 0.750
8 Fe 0.750 0.750 0.250
9 Ni 0.000 0.000 0.500
10 Ni 0.000 0.500 0.000
11 Ni 0.500 0.000 0.000
12 Ni 0.500 0.500 0.500

# 15
A plane-wave DFT calculation with GGA-PBE was carried out for AlFeNi after structural relaxation.

## Properties
- SG: P6_3/mmc, No. 194
- E_tot: -18.563 eV/f.u.

Cell lengths 4.066, 4.066, 4.966 Å; angles 90.00, 90.00, 120.00 degrees
Atoms (fractional coordinates):
1 Al 0.333 0.667 0.250
2 Al 0.667 0.333 0.750
3 Fe 0.000 0.000 0.000
4 Fe 0.000 0.000 0.500
5 Ni 0.333 0.667 0.750
6 Ni 0.667 0.333 0.250

# 16
A plane-wave DFT calculation with GGA-PBE was carried out for AlFeNi after structural relaxation.

## Properties
- SG: Pnma, No. 62
- E_tot: -18.615 eV/f.u.

Cell lengths 4.942, 3.866, 7.445 Å; angles 90.00, 90.00, 90.00 degrees
Atoms (fractional coordinates):
1 Al 0.174 0.250 0.091
2 Al 0.326 0.750 0.591
3 Al 0.674 0.250 0.409
4 Al 0.826 0.750 0.909
5 Fe 0.060 0.250 0.751
6 Fe 0.440 0.750 0.251
7 Fe 0.560 0.250 0.749
8 Fe 0.940 0.750 0.249
9 Ni 0.166 0.250 0.424
10 Ni 0.334 0.750 0.924
11 Ni 0.666 0.250 0.076
12 Ni 0.834 0.750 0.576

# 17
A plane-wave DFT calculation with GGA-PBE was carried out for AlFeNi after structural relaxation.

## Properties
- SG: P6_3/mmc, No. 194
- E_tot: -18.142 eV/f.u.

Cell lengths 4.101, 4.101, 4.862 Å; angles 90.00, 90.00, 120.00 degrees
Atoms (fractional coordinates):
1 Al 0.333 0.667 0.250
2 Al 0.667 0.333 0.750
3 Fe 0.333 0.667 0.750
4 Fe 0.667 0.333 0.250
5 Ni 0.000 0.000 0.000
6 Ni 0.000 0.000 0.500

# 18
A plane-wave DFT calculation with GGA-PBE was carried out for AlFe2Ni after structural relaxation.

## Properties
- SG: F-43m, No. 216
- E_tot: -27.089 eV/f.u.

Cell lengths 5.708, 5.708, 5.708 Å; angles 90.00, 90.00, 90.00 degrees
Atoms (fractional coordinates):
1 Al 0.000 0.000 0.000
2 Al 0.000 0.500 0.500
3 Al 0.500 0.000 0.500
4 Al 0.500 0.500 0.000
5 Fe 0.000 0.000 0.500
6 Fe 0.000 0.500 0.000
7 Fe 0.250 0.250 0.250
8 Fe 0.250 0.750 0.750
9 Fe 0.500 0.000 0.000
10 Fe 0.500 0.500 0.500
11 Fe 0.750 0.250 0.750
12 Fe 0.750 0.750 0.250
13 Ni 0.250 0.250 0.750
14 Ni 0.250 0.750 0.250
15 Ni 0.750 0.250 0.250
16 Ni 0.750 0.750 0.750

# 19
A plane-wave DFT calculation with GGA-PBE was carried out for AlFeNi2 after structural relaxation.

## Properties
- SG: F-43m, No. 216
- E_tot: -24.292 eV/f.u.

Cell lengths 5.682, 5.682, 5.682 Å; angles 90.00, 90.00, 90.00 degrees
Atoms (fractional coordinates):
1 Al 0.000 0.000 0.000
2 Al 0.000 0.500 0.500
3 Al 0.500 0.000 0.500
4 Al 0.500 0.500 0.000
5 Fe 0.250 0.250 0.750
6 Fe 0.250 0.750 0.250
7 Fe 0.750 0.250 0.250
8 Fe 0.750 0.750 0.750
9 Ni 0.000 0.000 0.500
10 Ni 0.000 0.500 0.000
11 Ni 0.250 0.250 0.250
12 Ni 0.250 0.750 0.750
13 Ni 0.500 0.000 0.000
14 Ni 0.500 0.500 0.500
15 Ni 0.750 0.250 0.750
16 Ni 0.750 0.750 0.250

# 20
A plane-wave DFT calculation with GGA-PBE was carried out for AlFeNi after structural relaxation.

## Properties
- SG: Pnma, No. 62
- E_tot: -18.600 eV/f.u.

Cell lengths 4.934, 3.953, 7.291 Å; angles 90.00, 90.00, 90.00 degrees
Atoms (fractional coordinates):
1 Al 0.194 0.250 0.090
2 Al 0.306 0.750 0.590
3 Al 0.694 0.250 0.410
4 Al 0.806 0.750 0.910
5 Fe 0.034 0.250 0.750
6 Fe 0.466 0.750 0.250
7 Fe 0.534 0.250 0.750
8 Fe 0.966 0.750 0.250
9 Ni 0.188 0.250 0.423
10 Ni 0.312 0.750 0.923
11 Ni 0.688 0.250 0.077
12 Ni 0.812 0.750 0.577